Computed, not measured: a relaxed structure of RbTaAs2 at the PBE-GGA level of DFT.

Cell: 3.7159 3.7159 25.1094 Å, 90.00 90.00 120.00°
Space group R-3m (No. 166, hexagonal axes)
Symmetry-distinct sites (fractional):
Rb: 0.0000 0.0000 0.0000 [3 per cell]
Ta: 0.0000 0.0000 0.5000 [3 per cell]
As: 0.0000 0.0000 0.2290 [6 per cell]

Properties
Its calculated total energy is -5.874 eV/atom. As for the density of states at the Fermi level: 5.1 states/eV per cell. For the formation energy, the calculation gives -1.378 eV per formula unit. As for the total moment: 0.00 μB per formula unit. For the volume, the calculation gives 300 Å³/cell.